# 1
Cs2BaPtO4 (PBE, relaxed); electronic total energy = -4.821 eV per atom; symmetry = Fddd; formation energy from raw total energies = -1.133 eV per atom; V = 329.02 Å³/f.u.; density = 3.34 g/cm3; density of states at the Fermi level = 14.079 states/eV per cell
1.0
-4.6005 1.4898 4.9721
2.8493 -0.3387 7.5754
1.0102 13.2561 1.8003
Cs Ba Pt O
4 2 2 8
Direct
0.1910 0.0000 0.6180
0.8090 0.0000 0.3820
0.5590 0.5000 0.8820
0.9410 0.5000 0.1180
0.7500 0.5000 0.5000
0.0000 0.0000 0.0000
0.2500 0.5000 0.5000
0.5000 0.0000 0.0000
0.3976 0.8083 0.9990
0.2049 0.1917 0.0010
0.7941 0.8083 0.0010
0.6034 0.1917 0.9990
0.3524 0.6917 0.5010
0.5451 0.3083 0.4990
0.9559 0.6917 0.4990
0.1466 0.3083 0.5010


# 2
CsBa2PuO5 (PBE, relaxed); electronic total energy = -7.453 eV per atom; symmetry = Immm; formation energy from raw total energies = -2.584 eV per atom; V = 184.61 Å³/f.u.; density = 6.58 g/cm3; density of states at the Fermi level = 7.866 states/eV per cell
1.0
-2.8545 -0.9310 -3.2443
1.5193 -6.5814 0.5519
-3.8304 3.0664 5.5017
Cs Ba Pu O
1 2 1 5
Direct
0.0000 0.5000 0.0000
0.2246 0.2246 0.4493
0.7754 0.7754 0.5507
0.5000 0.0000 0.0000
0.6297 0.9198 0.2595
0.3703 0.0802 0.7405
0.3703 0.6603 0.7405
0.6297 0.3397 0.2595
0.0000 0.0000 0.0000


# 3
Cs3BaPu2O9 (PBE, relaxed); electronic total energy = -7.505 eV per atom; symmetry = P-3m1; formation energy from raw total energies = -2.320 eV per atom; V = 285.11 Å³/f.u.; density = 6.80 g/cm3; density of states at the Fermi level = 6.566 states/eV per cell
1.0
6.4275 0.0000 0.0000
-3.2137 5.5664 0.0000
0.0000 0.0000 7.9688
Cs Ba Pu O
3 1 2 9
Direct
0.3333 0.6667 0.6622
0.0000 0.0000 0.0000
0.6667 0.3333 0.3378
0.0000 0.0000 0.5000
0.3333 0.6667 0.1467
0.6667 0.3333 0.8533
0.8101 0.1899 0.7069
0.8101 0.6203 0.7069
0.3797 0.1899 0.7069
0.6203 0.8101 0.2931
0.1899 0.3797 0.2931
0.1899 0.8101 0.2931
0.5000 0.0000 0.0000
0.0000 0.5000 0.0000
0.5000 0.5000 0.0000


# 4
CsBaPuO6 (PBE, relaxed); electronic total energy = -7.196 eV per atom; symmetry = P1; formation energy from raw total energies = -1.990 eV per atom; V = 158.65 Å³/f.u.; density = 6.39 g/cm3; density of states at the Fermi level = 9.875 states/eV per cell
1.0
6.1421 0.0005 0.0009
3.0712 5.3308 -0.0026
0.0009 -0.0063 4.8456
Cs Ba Pu O
1 1 1 6
Direct
0.6663 0.6671 0.2578
0.9986 0.0017 0.8399
0.3334 0.3332 0.5505
0.1673 0.1824 0.3429
0.4723 0.0306 0.7729
0.4998 0.4694 0.7741
0.0311 0.4962 0.7749
0.1816 0.6511 0.3461
0.6494 0.1683 0.3410


# 5
CsBaPuO4 (PBE, relaxed); electronic total energy = -7.855 eV per atom; symmetry = I4mm; formation energy from raw total energies = -2.578 eV per atom; V = 139.26 Å³/f.u.; density = 6.90 g/cm3; density of states at the Fermi level = 4.134 states/eV per cell
1.0
-0.4701 2.9842 -3.2803
-4.4120 0.0183 0.6489
3.1441 3.7021 5.9486
Cs Ba Pu O
1 1 1 4
Direct
0.6540 0.6540 0.3080
0.3643 0.3643 0.7285
0.0026 0.0026 0.0051
0.9877 0.4877 0.9754
0.4877 0.9877 0.9754
0.8582 0.8582 0.7164
0.1456 0.1456 0.2912


# 6
Cs2BaPu3O12 (PBE, relaxed); electronic total energy = -8.362 eV per atom; symmetry = R-3m; formation energy from raw total energies = -2.467 eV per atom; V = 345.57 Å³/f.u.; density = 6.38 g/cm3; density of states at the Fermi level = 3.766 states/eV per cell
1.0
7.6493 -0.2453 -0.1740
3.5643 6.7725 -0.1740
3.5643 2.0747 6.4492
Cs Ba Pu O
2 1 3 12
Direct
0.6086 0.6086 0.6086
0.3914 0.3914 0.3914
0.0000 0.0000 0.0000
0.5000 0.0000 0.0000
0.0000 0.5000 0.0000
0.0000 0.0000 0.5000
0.2738 0.2738 0.9028
0.8811 0.8811 0.4329
0.4329 0.8811 0.8811
0.9028 0.2738 0.2738
0.8811 0.4329 0.8811
0.2738 0.9028 0.2738
0.7262 0.7262 0.0972
0.1189 0.1189 0.5671
0.5671 0.1189 0.1189
0.0972 0.7262 0.7262
0.1189 0.5671 0.1189
0.7262 0.0972 0.7262


# 7
CsBaRe2O8 (PBE, relaxed); electronic total energy = -7.562 eV per atom; symmetry = R32; formation energy from raw total energies = -1.950 eV per atom; V = 271.06 Å³/f.u.; density = 4.72 g/cm3; density of states at the Fermi level = 7.503 states/eV per cell
1.0
5.9476 0.0000 0.0000
2.9738 5.1508 0.0000
2.9738 1.7169 8.8481
Cs Ba Re O
1 1 2 8
Direct
0.0000 0.0000 0.0000
0.5000 0.5000 0.5000
0.7488 0.7488 0.7536
0.2512 0.2512 0.2464
0.6823 0.6823 0.9531
0.3177 0.3177 0.0469
0.5125 0.2285 0.3130
0.7715 0.4875 0.6870
0.0540 0.7715 0.6870
0.2285 0.9460 0.3130
0.9460 0.5125 0.3130
0.4875 0.0540 0.6870


# 8
CsBa2ReO6 (PBE, relaxed); electronic total energy = -6.830 eV per atom; symmetry = P-1; formation energy from raw total energies = -2.140 eV per atom; V = 192.90 Å³/f.u.; density = 5.94 g/cm3; density of states at the Fermi level = 0.000 states/eV per cell
1.0
6.6907 0.0040 0.0135
3.3488 5.7824 0.0097
3.3578 1.9319 4.9955
Cs Ba Re O
1 2 1 6
Direct
0.8161 0.8162 0.5515
0.5475 0.5466 0.3597
0.0848 0.0857 0.7434
0.3162 0.3162 0.0515
0.4736 0.2431 0.2741
0.2417 0.0087 0.2784
0.0089 0.4741 0.2760
0.3906 0.6236 0.8247
0.6234 0.1583 0.8270
0.1588 0.3892 0.8289


# 9
Cs3Ba2RhO6 (PBE, relaxed); electronic total energy = -5.082 eV per atom; symmetry = C2/m; formation energy from raw total energies = -1.456 eV per atom; V = 249.58 Å³/f.u.; density = 5.80 g/cm3; density of states at the Fermi level = 5.574 states/eV per cell
1.0
-2.8953 -1.8520 5.5714
6.1984 -1.7224 -1.2111
1.0850 6.7890 1.5845
Cs Ba Rh O
3 2 1 6
Direct
0.1619 0.8381 0.5000
0.8381 0.1619 0.5000
0.5000 0.5000 0.5000
0.3333 0.6667 0.0000
0.6667 0.3333 0.0000
0.0000 0.0000 0.0000
0.9421 0.6825 0.8287
0.7931 0.7931 0.1788
0.0579 0.3175 0.1713
0.6825 0.9421 0.8287
0.2069 0.2069 0.8212
0.3175 0.0579 0.1713


# 10
Cs2Ba2RhO6 (PBE, relaxed); electronic total energy = -5.366 eV per atom; symmetry = C2/m; formation energy from raw total energies = -1.488 eV per atom; V = 247.23 Å³/f.u.; density = 4.97 g/cm3; density of states at the Fermi level = 0.225 states/eV per cell
1.0
6.3858 0.0530 0.1820
-3.1101 5.5774 0.1820
-1.0398 -1.7873 6.7939
Cs Ba Rh O
2 2 1 6
Direct
0.8384 0.1616 0.0000
0.1616 0.8384 0.0000
0.3382 0.6618 0.5000
0.6618 0.3382 0.5000
0.0000 0.0000 0.5000
0.7969 0.7969 0.6750
0.0426 0.3035 0.6591
0.2031 0.2031 0.3250
0.3035 0.0426 0.6591
0.9574 0.6965 0.3409
0.6965 0.9574 0.3409


# 11
CsBa2RhO4 (PBE, relaxed); electronic total energy = -5.653 eV per atom; symmetry = Cmcm; formation energy from raw total energies = -1.668 eV per atom; V = 182.33 Å³/f.u.; density = 5.23 g/cm3; density of states at the Fermi level = 2.019 states/eV per cell
1.0
4.0282 0.0000 0.0000
-2.0141 6.9113 0.0000
0.0000 0.0000 13.0982
Cs Ba Rh O
2 4 2 8
Direct
0.0762 0.1524 0.7500
0.9238 0.8476 0.2500
0.3717 0.7435 0.5483
0.6283 0.2565 0.0483
0.6283 0.2565 0.4517
0.3717 0.7435 0.9517
0.7763 0.5525 0.7500
0.2237 0.4475 0.2500
0.2480 0.4960 0.1058
0.7520 0.5040 0.6058
0.7520 0.5040 0.8942
0.2480 0.4960 0.3942
0.0000 0.0000 0.5000
0.0000 0.0000 0.0000
0.3157 0.6315 0.7500
0.6843 0.3685 0.2500


# 12
CsBa2RuO4 (PBE, relaxed); electronic total energy = -5.905 eV per atom; symmetry = Cmcm; formation energy from raw total energies = -1.679 eV per atom; V = 177.64 Å³/f.u.; density = 5.35 g/cm3; density of states at the Fermi level = 7.847 states/eV per cell
1.0
-3.4806 -0.8983 1.2869
4.5944 -3.5623 4.2758
0.3740 10.4633 8.3156
Cs Ba Ru O
2 4 2 8
Direct
0.0707 0.1414 0.7500
0.9293 0.8586 0.2500
0.3707 0.7415 0.5431
0.6293 0.2585 0.0431
0.6293 0.2585 0.4569
0.3707 0.7415 0.9569
0.7881 0.5763 0.7500
0.2119 0.4237 0.2500
0.2526 0.5052 0.1127
0.7474 0.4948 0.6127
0.7474 0.4948 0.8873
0.2526 0.5052 0.3873
0.0000 0.0000 0.5000
0.0000 0.0000 0.0000
0.3392 0.6785 0.7500
0.6608 0.3215 0.2500


# 13
CsBa2RuO6 (PBE, relaxed); electronic total energy = -6.022 eV per atom; symmetry = P-1; formation energy from raw total energies = -1.649 eV per atom; V = 191.23 Å³/f.u.; density = 5.25 g/cm3; density of states at the Fermi level = 6.151 states/eV per cell
1.0
6.7090 0.0056 0.0269
3.3598 5.7863 0.0216
3.3760 1.9375 4.9446
Cs Ba Ru O
1 2 1 6
Direct
0.8162 0.8162 0.5513
0.5475 0.5457 0.3616
0.0849 0.0866 0.7414
0.3161 0.3162 0.0515
0.4747 0.2400 0.2767
0.2379 0.0073 0.2832
0.0077 0.4756 0.2797
0.3945 0.6249 0.8199
0.6245 0.1566 0.8235
0.1575 0.3924 0.8264


# 14
Cs2Ba2RuO6 (PBE, relaxed); electronic total energy = -5.687 eV per atom; symmetry = C2/m; formation energy from raw total energies = -1.634 eV per atom; V = 246.01 Å³/f.u.; density = 4.98 g/cm3; density of states at the Fermi level = 7.863 states/eV per cell
1.0
-4.8855 2.2117 -3.4533
1.0318 -6.2927 0.1477
-3.1448 0.4911 6.3276
Cs Ba Ru O
2 2 1 6
Direct
0.8384 0.1616 0.0000
0.1616 0.8384 0.0000
0.3380 0.6620 0.5000
0.6620 0.3380 0.5000
0.0000 0.0000 0.5000
0.7996 0.7996 0.6732
0.0420 0.3014 0.6577
0.2004 0.2004 0.3268
0.3014 0.0420 0.6577
0.9580 0.6986 0.3423
0.6986 0.9580 0.3423


# 15
Cs2BaRuO4 (PBE, relaxed); electronic total energy = -5.542 eV per atom; symmetry = I-4; formation energy from raw total energies = -1.449 eV per atom; V = 180.05 Å³/f.u.; density = 5.24 g/cm3; density of states at the Fermi level = 8.560 states/eV per cell
1.0
-3.4866 5.1328 0.0141
-0.3518 -3.3399 -5.2177
-1.7321 -4.3031 4.1214
Cs Ba Ru O
2 1 1 4
Direct
0.5000 0.7500 0.2500
0.0000 0.0000 0.0000
0.5000 0.2500 0.7500
0.0000 0.5000 0.5000
0.6118 0.3192 0.3920
0.0728 0.2926 0.6808
0.9272 0.6080 0.2199
0.3882 0.7801 0.7074


# 16
CsBaS2O6 (PBE, relaxed); electronic total energy = -5.874 eV per atom; symmetry = C2/c; formation energy from raw total energies = -1.796 eV per atom; V = 204.74 Å³/f.u.; density = 3.49 g/cm3; density of states at the Fermi level = 1.218 states/eV per cell
1.0
7.3202 -0.5580 -0.2689
-1.4500 7.1968 -0.2689
-2.0194 -2.2838 8.0790
Cs Ba S O
2 2 4 12
Direct
0.1600 0.8400 0.2500
0.8400 0.1600 0.7500
0.5732 0.4268 0.2500
0.4268 0.5732 0.7500
0.3050 0.0703 0.7545
0.9297 0.6950 0.7455
0.6950 0.9297 0.2455
0.0703 0.3050 0.2545
0.9222 0.4050 0.2009
0.5950 0.0778 0.2991
0.0778 0.5950 0.7991
0.4050 0.9222 0.7009
0.1494 0.2386 0.1122
0.7614 0.8506 0.3878
0.8506 0.7614 0.8878
0.2386 0.1494 0.6122
0.2530 0.4605 0.4034
0.5395 0.7470 0.0966
0.7470 0.5395 0.5966
0.4605 0.2530 0.9034


# 17
Cs3BaS2O8 (PBE, relaxed); electronic total energy = -5.529 eV per atom; symmetry = P-3m1; formation energy from raw total energies = -1.785 eV per atom; V = 319.58 Å³/f.u.; density = 3.78 g/cm3; density of states at the Fermi level = 1.600 states/eV per cell
1.0
-2.7583 4.0964 -4.4345
0.7501 -6.4348 -1.4437
-7.5638 -1.6046 3.2224
Cs Ba S O
3 1 2 8
Direct
0.3333 0.6667 0.7331
0.6667 0.3333 0.2669
0.0000 0.0000 0.0000
0.0000 0.0000 0.5000
0.3333 0.6667 0.2834
0.6667 0.3333 0.7166
0.3333 0.6667 0.1063
0.6667 0.3333 0.8937
0.2104 0.7896 0.3452
0.7896 0.2104 0.6548
0.2104 0.4209 0.3452
0.7896 0.5791 0.6548
0.5791 0.7896 0.3452
0.4209 0.2104 0.6548


# 18
Cs2Ba5Sb3O2 (PBE, relaxed); electronic total energy = -4.150 eV per atom; symmetry = I4/mmm; formation energy from raw total energies = -1.350 eV per atom; V = 471.56 Å³/f.u.; density = 4.75 g/cm3; density of states at the Fermi level = 12.480 states/eV per cell
1.0
-5.1427 0.7965 -1.5668
-1.6521 -0.5371 5.1496
5.1596 15.5843 0.4129
Cs Ba Sb O
2 5 3 2
Direct
0.7089 0.7089 0.4179
0.2911 0.2911 0.5821
0.5943 0.0943 0.1887
0.4057 0.9057 0.8113
0.0943 0.5943 0.1887
0.9057 0.4057 0.8113
0.5000 0.5000 0.0000
0.1651 0.1651 0.3301
0.8349 0.8349 0.6699
0.0000 0.0000 0.0000
0.4182 0.4182 0.8364
0.5818 0.5818 0.1636


# 19
CsBa2Sb2O6 (PBE, relaxed); electronic total energy = -5.753 eV per atom; symmetry = P-1; formation energy from raw total energies = -1.872 eV per atom; V = 291.98 Å³/f.u.; density = 4.25 g/cm3; density of states at the Fermi level = 2.390 states/eV per cell
1.0
7.4504 -0.4460 1.4490
3.2820 5.7209 1.1554
1.5363 -2.8125 6.6840
Cs Ba Sb O
1 2 2 6
Direct
0.5000 0.0000 0.5000
0.8013 0.3648 0.7046
0.1987 0.6352 0.2954
0.0833 0.7489 0.8358
0.9167 0.2511 0.1642
0.3541 0.5823 0.8649
0.9147 0.4923 0.3297
0.1270 0.9160 0.6327
0.0853 0.5077 0.6703
0.8730 0.0840 0.3673
0.6459 0.4177 0.1351


# 20
Cs2BaSbO4 (PBE, relaxed); electronic total energy = -4.969 eV per atom; symmetry = I-42m; formation energy from raw total energies = -1.521 eV per atom; V = 200.14 Å³/f.u.; density = 4.89 g/cm3; density of states at the Fermi level = 3.639 states/eV per cell
1.0
-0.4250 4.8411 5.0403
-2.1033 -1.2649 5.9005
4.7779 1.2646 4.0512
Cs Ba Sb O
2 1 1 4
Direct
0.0000 0.5000 0.5000
0.5000 0.5000 0.5000
0.0000 0.0000 0.0000
0.5000 0.0000 0.0000
0.1677 0.2900 0.0000
0.8323 0.0000 0.7100
0.5422 0.0000 0.2900
0.4578 0.7100 0.0000